1.
Compound: Cs2SrBiS4
Source: Alexandria
Functional: PBE-GGA
Structure: optimized geometry

Cell: 7.037 8.464 13.543 Å, 83.80 74.94 65.44°
Site moments in Bohr magnetons follow the coordinates.
Positions (direct):
Cs 0.187 0.000 0.627  0.00
Cs 0.813 0.000 0.373  0.00
Cs 0.563 0.500 0.873  0.00
Cs 0.937 0.500 0.127  0.00
Sr 0.750 0.500 0.500  0.01
Sr 0.000 0.000 0.000  0.01
Bi 0.250 0.500 0.500  0.05
Bi 0.500 0.000 0.000  0.05
S 0.330 0.790 0.100  0.12
S 0.220 0.210 0.900  0.12
S 0.880 0.790 0.900  0.12
S 0.570 0.210 0.100  0.12
S 0.420 0.710 0.400  0.12
S 0.530 0.290 0.600  0.12
S 0.870 0.710 0.600  0.12
S 0.180 0.290 0.400  0.12

Summary:
E_form (uncorrected) = -0.8819 eV per atom
ρ = 3238 kg/m3
size of the total moment = 0.91 μB per formula unit
space group = Fddd
density of states at the Fermi level = 3.02 states/eV/f.u.

2.
Compound: BaAc2Tl
Source: Alexandria
Functional: PBE-GGA
Structure: optimized geometry

Cell: 5.340 5.490 5.490 Å, 90.00 90.00 90.00°
Positions (direct):
Ac 0.000 0.000 0.500
Ac 0.000 0.500 0.000
Tl 0.500 0.000 0.000
Ba 0.500 0.500 0.500

Summary:
ρ = 8211 kg/m3
size of the total moment = 0.00 μB per formula unit
space group = P4/mmm
excess energy over the best structure of this formula in the dataset = 46 meV/atom
density of states at the Fermi level = 4.74 states/eV/f.u.
formation energy from the elements = -60.3 meV per atom

3.
Compound: K2CaFe4
Source: Alexandria
Functional: PBE-GGA
Structure: optimized geometry

Cell: 5.213 5.213 9.377 Å, 73.86 73.86 90.00°
Site moments in Bohr magnetons follow the coordinates.
Positions (direct):
K 0.641 0.641 0.717  -0.01
K 0.359 0.359 0.283  -0.01
Ca 0.000 0.000 0.000  -0.21
Fe 0.847 0.847 0.306  3.14
Fe 0.153 0.153 0.694  3.14
Fe 0.000 0.500 0.000  3.01
Fe 0.500 0.000 0.000  3.01

Summary:
ρ = 2422 kg/m3
size of the total moment = 12.04 μB per formula unit
space group = I4/mmm
density of states at the Fermi level = 16.03 states/eV/f.u.
formation energy from the elements = 1739.6 meV per atom

4.
Compound: Pm8Pr2Tl
Source: Alexandria
Functional: PBE-GGA
Structure: optimized geometry

Cell: 5.631 7.749 10.016 Å, 112.76 106.33 90.00°
Positions (direct):
Pm 0.636 0.864 0.272
Pm 0.364 0.592 0.728
Pm 0.178 0.178 0.355
Pm 0.000 0.258 0.000
Pm 0.822 0.822 0.645
Pm 0.636 0.408 0.272
Pm 0.364 0.136 0.728
Pm 0.000 0.742 0.000
Pr 0.192 0.692 0.385
Pr 0.808 0.308 0.615
Tl 0.500 0.000 0.000

Summary:
ρ = 7122 kg/m3
size of the total moment = 0.00 μB per formula unit
space group = Immm
excess energy over the best structure of this formula in the dataset = 63 meV/atom
density of states at the Fermi level = 15.99 states/eV/f.u.
formation energy from the elements = 24.9 meV per atom

5.
Compound: NdSmAl
Source: Alexandria
Functional: PBE-GGA
Structure: optimized geometry

Cell: 3.517 3.517 7.417 Å, 103.72 103.72 90.00°
Positions (direct):
Nd 0.597 0.597 0.193
Al 0.948 0.948 0.897
Sm 0.305 0.305 0.610

Summary:
ρ = 6177 kg/m3
size of the total moment = 0.00 μB per formula unit
space group = I4mm
excess energy over the best structure of this formula in the dataset = 0 meV/atom
density of states at the Fermi level = 2.57 states/eV/f.u.
formation energy from the elements = -206.0 meV per atom

6.
Compound: GdPaPtAu
Source: Alexandria
Functional: PBE-GGA
Structure: optimized geometry

Cell: 5.055 5.055 5.055 Å, 60.00 60.00 60.00°
Site moments in Bohr magnetons follow the coordinates.
Positions (direct):
Gd 0.000 0.000 0.000  -7.13
Pa 0.500 0.500 0.500  -0.86
Au 0.250 0.250 0.250  -0.01
Pt 0.750 0.750 0.750  0.03

Summary:
ρ = 14184 kg/m3
size of the total moment = 8.32 μB per formula unit
space group = F-43m
density of states at the Fermi level = 5.70 states/eV/f.u.
formation energy from the elements = -674.0 meV per atom

7.
Compound: Cd2SiSe
Source: Alexandria
Functional: PBE-GGA
Structure: optimized geometry

Cell: 3.936 5.550 4.107 Å, 90.00 90.00 90.00°
Positions (direct):
Cd 0.000 0.000 0.000
Cd 0.500 0.500 0.000
Se 0.500 0.000 0.500
Si 0.000 0.500 0.500

Summary:
E_form (uncorrected) = 0.2824 eV per atom
ρ = 6142 kg/m3
size of the total moment = 0.00 μB per formula unit
space group = Pmmm
excess energy over the best structure of this formula in the dataset = 205 meV/atom
density of states at the Fermi level = 2.00 states/eV/f.u.

8.
Compound: Pm4Er4Tl
Source: Alexandria
Functional: PBE-GGA
Structure: optimized geometry

Cell: 4.939 7.944 7.944 Å, 84.45 71.89 71.89°
Positions (direct):
Pm 0.667 0.333 0.333
Pm 0.333 0.667 0.667
Pm 0.000 0.667 0.333
Pm 0.000 0.333 0.667
Er 0.662 0.677 0.000
Er 0.338 0.323 0.000
Er 0.662 0.000 0.677
Er 0.338 0.000 0.323
Tl 0.000 0.000 0.000

Summary:
ρ = 8572 kg/m3
size of the total moment = 0.00 μB per formula unit
space group = I4/mmm
density of states at the Fermi level = 11.31 states/eV/f.u.
formation energy from the elements = -41.3 meV per atom

- What is the formula in the seventh record?
  Cd2SiSe